Crystalline Rb2SrLi2I6 at its relaxed geometry. Source: Alexandria, functional PBE-GGA.

Cell lengths 14.571, 8.841, 9.203 Å; angles 90.00, 117.08, 90.00 degrees
Space group C2/m (No. 12)
Inequivalent atoms, fractional coordinates:
1 Rb 0.213 0.000 0.164 x4
2 Sr 0.000 0.000 0.500 x2
3 Li 0.054 0.500 0.266 x4
4 I 0.062 0.249 0.801 x8
5 I 0.242 0.000 0.579 x4

Energy relative to the elements, uncorrected, eV/atom: -1.407
Mass density, g/cm3: 3.253

Crystalline AgPW2 at its relaxed geometry. Source: Alexandria, functional PBE-GGA.

Cell lengths 3.067, 4.585, 8.969 Å; angles 90.00, 90.00, 90.00 degrees
Space group Immm (No. 71)
Inequivalent atoms, fractional coordinates:
1 Ag 0.000 0.000 0.000 x2
2 P 0.000 0.000 0.500 x2
3 W 0.000 0.500 0.211 x4

Distance to the lowest polymorph of the same formula, meV/atom: 111
Mass density, g/cm3: 13.336
Formation energy, meV per atom: 391

Crystalline LiMnRu at its relaxed geometry. Source: Alexandria, functional PBE-GGA.

Cell lengths 2.954, 4.438, 13.104 Å; angles 90.00, 90.00, 90.00 degrees
Space group Fmm2 (No. 42)
Inequivalent atoms, fractional coordinates:
1 Li 0.000 0.000 0.000 x4
2 Mn 0.000 0.000 0.679 x4
3 Ru 0.000 0.000 0.329 x4

Distance to the lowest polymorph of the same formula, meV/atom: 152
Mass density, g/cm3: 6.301
Formation energy, meV per atom: 294